Li2CaCl | GGA-PBEsol | optimized geometry

Unit cell a=5.5889 b=5.5889 c=5.9262 alpha=116.00 beta=116.00 gamma=35.57
Element x y z (fractional)
Li (0.0000, 0.0000, 0.0000)
Li (0.1991, 0.1991, 0.7499)
Ca (0.3744, 0.3744, 0.3956)
Cl (0.6471, 0.6471, 0.3818)

Output
Total energy ... -10.9 eV/f.u.
Offset from the most stable computed form ... 0.018 eV per atom
Formation energy (no corrections) ... -696 meV/atom
Spin magnetization ... 0.0 μB/f.u.


LiCa2Cl | GGA-PBEsol | optimized geometry

Unit cell a=3.5482 b=3.5482 c=8.6104 alpha=90.00 beta=90.00 gamma=90.00
Element x y z (fractional)
Li (0.0000, 0.0000, 0.0000)
Ca (0.5000, 0.5000, 0.2574)
Ca (0.5000, 0.5000, 0.7426)
Cl (0.0000, 0.0000, 0.5000)

Output
Total energy ... -10.9 eV/f.u.
Offset from the most stable computed form ... 0.000 eV per atom
Formation energy (no corrections) ... -658 meV/atom
Spin magnetization ... 0.0 μB/f.u.


LiCa2Cl | GGA-PBEsol | optimized geometry

Unit cell a=5.4660 b=5.4660 c=5.4660 alpha=60.00 beta=60.00 gamma=60.00
Element x y z (fractional)
Li (0.0000, 0.0000, 0.0000)
Ca (0.2500, 0.2500, 0.2500)
Ca (0.7500, 0.7500, 0.7500)
Cl (0.5000, 0.5000, 0.5000)

Output
Total energy ... -9.9 eV/f.u.
Offset from the most stable computed form ... 0.241 eV per atom
Formation energy (no corrections) ... -417 meV/atom
Spin magnetization ... 0.0 μB/f.u.


Li2CaReCl | GGA-PBEsol | optimized geometry

Unit cell a=4.9093 b=4.9093 c=4.3775 alpha=90.00 beta=90.00 gamma=90.00
Element x y z (fractional)
Li (0.0000, 0.5000, 0.0000)
Li (0.5000, 0.0000, 0.0000)
Ca (0.0000, 0.0000, 0.5000)
Re (0.5000, 0.5000, 0.0000)
Cl (0.5000, 0.5000, 0.5000)

Output
Total energy ... -19.0 eV/f.u.
Formation energy (no corrections) ... 481 meV/atom
Spin magnetization ... 0.0 μB/f.u.